Computed, not measured: a relaxed structure of Pr3NiBr at the PBE level of DFT.

Calculated values
Its space group is No. 59. The uncorrected formation energy is -0.484 eV/atom. Its energy above the most stable polymorph in this dataset is 79.7 meV per atom. The calculation puts the electronic total energy at -48.421 eV per cell.

Cell: 3.825 9.946 8.163 Å, 90.00 90.00 90.00°
Element x y z (fractional)
Pr1 0.250 0.074 0.172
Pr2 0.250 0.250 0.763
Pr3 0.250 0.426 0.172
Pr4 0.750 0.574 0.828
Pr5 0.750 0.750 0.237
Pr6 0.750 0.926 0.828
Ni1 0.250 0.750 0.997
Ni2 0.750 0.250 0.003
Br1 0.250 0.750 0.556
Br2 0.750 0.250 0.444

=====

Computed, not measured: a relaxed structure of Pr7NiBr12 at the PBE level of DFT.

Calculated values
Its space group is No. 148. The uncorrected formation energy is -1.584 eV/atom. The calculation puts the electronic total energy at -90.989 eV per cell.

Cell: 9.562 9.562 9.562 Å, 107.55 107.55 107.55°
Element x y z (fractional)
Pr1 0.000 0.000 0.000
Pr2 0.183 0.389 0.469
Pr3 0.389 0.469 0.183
Pr4 0.469 0.183 0.389
Pr5 0.531 0.817 0.611
Pr6 0.611 0.531 0.817
Pr7 0.817 0.611 0.531
Ni1 0.500 0.500 0.500
Br1 0.026 0.338 0.112
Br2 0.112 0.026 0.338
Br3 0.186 0.720 0.574
Br4 0.280 0.426 0.814
Br5 0.338 0.112 0.026
Br6 0.426 0.814 0.280
Br7 0.574 0.186 0.720
Br8 0.662 0.888 0.974
Br9 0.720 0.574 0.186
Br10 0.814 0.280 0.426
Br11 0.888 0.974 0.662
Br12 0.974 0.662 0.888

=====

Computed, not measured: a relaxed structure of Pr3NiBr at the PBE level of DFT.

Calculated values
Its space group is No. 11. The uncorrected formation energy is -0.563 eV/atom. Its energy above the most stable polymorph in this dataset is 0.0 meV per atom. The calculation puts the electronic total energy at -49.218 eV per cell.

Cell: 9.070 3.833 9.103 Å, 90.00 113.22 90.00°
Element x y z (fractional)
Pr1 0.010 0.250 0.184
Pr2 0.248 0.750 0.551
Pr3 0.369 0.750 0.200
Pr4 0.631 0.250 0.800
Pr5 0.752 0.250 0.449
Pr6 0.990 0.750 0.816
Ni1 0.398 0.250 0.434
Ni2 0.602 0.750 0.566
Br1 0.308 0.250 0.872
Br2 0.692 0.750 0.128

=====

Computed, not measured: a relaxed structure of Pr3NiBr2 at the PBE level of DFT.

Calculated values
Its space group is No. 12. The uncorrected formation energy is -0.950 eV/atom. The calculation puts the electronic total energy at -58.336 eV per cell.

Cell: 7.369 7.369 7.849 Å, 99.00 99.00 119.92°
Element x y z (fractional)
Pr1 0.063 0.431 0.797
Pr2 0.200 0.200 0.200
Pr3 0.431 0.063 0.797
Pr4 0.569 0.937 0.203
Pr5 0.800 0.800 0.800
Pr6 0.937 0.569 0.203
Ni1 0.167 0.833 0.000
Ni2 0.833 0.167 0.000
Br1 0.000 0.000 0.500
Br2 0.343 0.657 0.500
Br3 0.500 0.500 0.000
Br4 0.657 0.343 0.500

=====

Computed, not measured: a relaxed structure of Pr4NiBr5 at the PBE level of DFT.

Calculated values
Its space group is No. 12. The uncorrected formation energy is -1.369 eV/atom. The calculation puts the electronic total energy at -46.950 eV per cell.

Cell: 9.773 9.773 8.785 Å, 103.76 103.76 24.13°
Element x y z (fractional)
Pr1 0.000 0.000 0.217
Pr2 0.000 0.000 0.783
Pr3 0.349 0.349 0.912
Pr4 0.651 0.651 0.088
Ni1 0.500 0.500 0.000
Br1 0.166 0.166 0.347
Br2 0.173 0.173 0.839
Br3 0.500 0.500 0.500
Br4 0.827 0.827 0.161
Br5 0.834 0.834 0.653

=====

Computed, not measured: a relaxed structure of Pr3Ni3Br at the PBE level of DFT.

Calculated values
Its space group is No. 176. The uncorrected formation energy is -0.536 eV/atom. The calculation puts the electronic total energy at -74.211 eV per cell.

Cell: 9.711 9.711 4.152 Å, 90.00 90.00 120.00°
Element x y z (fractional)
Pr1 0.084 0.377 0.250
Pr2 0.292 0.916 0.250
Pr3 0.377 0.292 0.750
Pr4 0.623 0.708 0.250
Pr5 0.708 0.084 0.750
Pr6 0.916 0.623 0.750
Ni1 0.032 0.160 0.750
Ni2 0.129 0.968 0.750
Ni3 0.160 0.129 0.250
Ni4 0.840 0.871 0.750
Ni5 0.871 0.032 0.250
Ni6 0.968 0.840 0.250
Br1 0.333 0.667 0.750
Br2 0.667 0.333 0.250